[1]
DFT (PBE-GGA) results for a relaxed structure of Na3U2VS6.

Unit cell a=6.656 b=6.656 c=7.113 alpha=98.99 beta=98.99 gamma=120.04
Fractional coordinates of all 12 atoms:
Na 0.000 0.000 0.000
Na 0.332 0.668 0.000
Na 0.668 0.332 0.000
U 0.167 0.833 0.500
U 0.833 0.167 0.500
V 0.500 0.500 0.500
S 0.112 0.425 0.276
S 0.261 0.261 0.722
S 0.425 0.112 0.276
S 0.575 0.888 0.724
S 0.739 0.739 0.278
S 0.888 0.575 0.724

Output
* total magnetization: 8.0 μB/f.u.
* symmetry: C2/m, No. 12
* uncorrected formation energy: -1256.0 meV/atom

=====

[2]
DFT (PBE-GGA) results for a relaxed structure of RbPIrPb.

Unit cell a=4.160 b=4.160 c=13.301 alpha=90.00 beta=90.00 gamma=90.00
Fractional coordinates of all 8 atoms:
Rb 0.250 0.250 0.240
Rb 0.750 0.750 0.760
P 0.250 0.250 0.910
P 0.750 0.750 0.090
Ir 0.250 0.750 0.000
Ir 0.750 0.250 0.000
Pb 0.250 0.750 0.500
Pb 0.750 0.250 0.500

Output
* total magnetization: 0.0 μB/f.u.
* symmetry: P4/nmm, No. 129
* energy of formation: -0.29 eV/atom

=====

[3]
DFT (PBE-GGA) results for a relaxed structure of ZrNbCo2Re.

Unit cell a=4.322 b=4.322 c=4.968 alpha=90.00 beta=90.00 gamma=90.00
Fractional coordinates of all 5 atoms:
Zr 0.000 0.000 0.000
Nb 0.000 0.000 0.500
Co 0.000 0.500 0.000
Co 0.500 0.000 0.000
Re 0.500 0.500 0.500

Output
* total magnetization: 1.4 μB/f.u.
* symmetry: P4/mmm, No. 123
* energy of formation: 1.89 eV/atom

=====

[4]
DFT (PBE-GGA) results for a relaxed structure of Ag3Rh5.

Unit cell a=8.027 b=8.027 c=4.772 alpha=90.00 beta=90.00 gamma=120.00
Fractional coordinates of all 16 atoms:
Ag 0.000 0.399 0.250
Ag 0.000 0.601 0.750
Ag 0.399 0.000 0.250
Ag 0.399 0.399 0.750
Ag 0.601 0.000 0.750
Ag 0.601 0.601 0.250
Rh 0.000 0.192 0.750
Rh 0.000 0.808 0.250
Rh 0.192 0.000 0.750
Rh 0.192 0.192 0.250
Rh 0.333 0.667 0.000
Rh 0.333 0.667 0.500
Rh 0.667 0.333 0.000
Rh 0.667 0.333 0.500
Rh 0.808 0.000 0.250
Rh 0.808 0.808 0.750

Output
* total magnetization: 3.0 μB/f.u.
* symmetry: P6_3/mcm, No. 193
* energy of formation: 0.55 eV/atom
* energy above the most stable polymorph in this dataset: 0.2523 eV per atom

=====

[5]
DFT (PBE-GGA) results for a relaxed structure of HoTh2PaC4.

Unit cell a=6.353 b=3.700 c=6.390 alpha=90.00 beta=109.27 gamma=90.00
Fractional coordinates of all 8 atoms:
Ho 0.000 0.000 0.000
Th 0.000 0.500 0.500
Th 0.500 0.000 0.500
Pa 0.500 0.500 0.000
C 0.260 0.500 0.240
C 0.264 0.000 0.766
C 0.736 0.000 0.234
C 0.740 0.500 0.760

Output
* total magnetization: 0.0 μB/f.u.
* symmetry: P2/m, No. 10
* energy of formation: -0.30 eV/atom

=====

[6]
DFT (PBE-GGA) results for a relaxed structure of BaPaSe2O.

Unit cell a=5.709 b=5.709 c=4.244 alpha=90.00 beta=90.00 gamma=90.00
Fractional coordinates of all 5 atoms:
Ba 0.000 0.000 0.000
Pa 0.500 0.500 0.500
Se 0.000 0.500 0.500
Se 0.500 0.000 0.500
O 0.500 0.500 0.000

Output
* total magnetization: 0.8 μB/f.u.
* symmetry: P4/mmm, No. 123
* uncorrected formation energy: -2226.6 meV/atom

=====

[7]
DFT (PBE-GGA) results for a relaxed structure of NdDyErSc.

Unit cell a=11.496 b=11.496 c=11.496 alpha=17.62 beta=17.62 gamma=17.62
Fractional coordinates of all 4 atoms:
Nd 0.000 0.000 0.000
Dy 0.755 0.755 0.755
Er 0.172 0.172 0.172
Sc 0.585 0.585 0.585

Output
* total magnetization: 0.0 μB/f.u.
* symmetry: R3m, No. 160
* energy of formation: 0.06 eV/atom
* energy above the most stable polymorph in this dataset: 0.0000 eV per atom

=====

[8]
DFT (PBE-GGA) results for a relaxed structure of HgRu.

Unit cell a=2.845 b=6.964 c=6.964 alpha=121.10 beta=90.00 gamma=90.00
Fractional coordinates of all 6 atoms:
Hg 0.000 0.000 0.000
Hg 0.500 0.104 0.584
Hg 0.500 0.584 0.104
Ru 0.000 0.518 0.719
Ru 0.000 0.719 0.518
Ru 0.500 0.362 0.362

Output
* total magnetization: 0.0 μB/f.u.
* symmetry: Amm2, No. 38
* energy of formation: 0.47 eV/atom

=====

[9]
DFT (PBE-GGA) results for a relaxed structure of Ca5NpAs4.

Unit cell a=9.414 b=9.414 c=8.193 alpha=105.96 beta=105.96 gamma=26.51
Fractional coordinates of all 10 atoms:
Ca 0.000 0.000 0.000
Ca 0.332 0.332 0.628
Ca 0.337 0.337 0.159
Ca 0.663 0.663 0.841
Ca 0.668 0.668 0.372
Np 0.000 0.000 0.500
As 0.170 0.170 0.617
As 0.498 0.498 0.745
As 0.502 0.502 0.255
As 0.830 0.830 0.383

Output
* total magnetization: 5.0 μB/f.u.
* symmetry: C2/m, No. 12
* energy of formation: -0.87 eV/atom

=====

[10]
DFT (PBE-GGA) results for a relaxed structure of Y8Si3Te4H.

Unit cell a=8.532 b=8.532 c=8.532 alpha=58.62 beta=58.62 gamma=58.62
Fractional coordinates of all 16 atoms:
Y 0.232 0.744 0.744
Y 0.239 0.239 0.239
Y 0.256 0.256 0.768
Y 0.256 0.768 0.256
Y 0.744 0.232 0.744
Y 0.744 0.744 0.232
Y 0.761 0.761 0.761
Y 0.768 0.256 0.256
Si 0.000 0.000 0.500
Si 0.000 0.500 0.000
Si 0.500 0.000 0.000
Te 0.000 0.000 0.000
Te 0.000 0.500 0.500
Te 0.500 0.000 0.500
Te 0.500 0.500 0.000
H 0.500 0.500 0.500

Output
* total magnetization: 0.0 μB/f.u.
* symmetry: R-3m, No. 166

=====

[11]
DFT (PBE-GGA) results for a relaxed structure of CaHoAu4.

Unit cell a=4.259 b=5.449 c=6.900 alpha=107.93 beta=90.11 gamma=90.10
Fractional coordinates of all 6 atoms:
Ca 0.000 0.000 0.000
Ho 0.500 0.500 0.500
Au 0.000 0.435 0.776
Au 0.000 0.565 0.224
Au 0.499 0.061 0.714
Au 0.501 0.939 0.286

Output
* total magnetization: 0.0 μB/f.u.
* symmetry: P-1, No. 2
* energy of formation: -0.57 eV/atom
* energy above the most stable polymorph in this dataset: 0.0000 eV per atom

=====

[12]
DFT (PBE-GGA) results for a relaxed structure of CaTbPuN3.

Unit cell a=7.508 b=3.542 c=8.422 alpha=90.00 beta=96.58 gamma=90.00
Fractional coordinates of all 12 atoms:
Ca 0.103 0.250 0.162
Ca 0.897 0.750 0.838
Tb 0.328 0.750 0.881
Tb 0.672 0.250 0.119
Pu 0.442 0.750 0.402
Pu 0.558 0.250 0.598
N 0.138 0.250 0.882
N 0.287 0.250 0.418
N 0.419 0.750 0.162
N 0.581 0.250 0.838
N 0.713 0.750 0.582
N 0.862 0.750 0.118

Output
* total magnetization: 1.3 μB/f.u.
* symmetry: P2_1/m, No. 11
* uncorrected formation energy: -806.1 meV/atom

=====

[13]
DFT (PBE-GGA) results for a relaxed structure of SiAg2Pt.

Unit cell a=5.832 b=5.832 c=5.832 alpha=100.86 beta=100.86 gamma=128.54
Fractional coordinates of all 8 atoms:
Si 0.000 0.000 0.000
Si 0.750 0.250 0.500
Ag 0.090 0.625 0.965
Ag 0.375 0.340 0.465
Ag 0.660 0.125 0.035
Ag 0.875 0.910 0.535
Pt 0.250 0.750 0.500
Pt 0.500 0.500 0.000

Output
* total magnetization: 0.0 μB/f.u.
* symmetry: I-42d, No. 122
* uncorrected formation energy: 188.3 meV/atom

=====

[14]
DFT (PBE-GGA) results for a relaxed structure of UTaCo2.

Unit cell a=8.644 b=8.644 c=8.644 alpha=19.63 beta=19.63 gamma=19.63
Fractional coordinates of all 4 atoms:
U 0.000 0.000 0.000
Ta 0.500 0.500 0.500
Co 0.088 0.088 0.088
Co 0.912 0.912 0.912

Output
* total magnetization: 0.0 μB/f.u.
* symmetry: R-3m, No. 166
* energy of formation: 0.32 eV/atom
* energy above the most stable polymorph in this dataset: 0.3558 eV per atom

=====

[15]
DFT (PBE-GGA) results for a relaxed structure of KSc2InRe.

Unit cell a=4.795 b=4.795 c=4.731 alpha=90.00 beta=90.00 gamma=90.00
Fractional coordinates of all 5 atoms:
K 0.000 0.000 0.000
Sc 0.000 0.500 0.000
Sc 0.500 0.000 0.000
In 0.500 0.500 0.500
Re 0.000 0.000 0.500

Output
* total magnetization: 0.0 μB/f.u.
* symmetry: P4/mmm, No. 123
* energy of formation: 1.85 eV/atom

=====

[16]
DFT (PBE-GGA) results for a relaxed structure of Mn2AsSe.

Unit cell a=3.266 b=3.285 c=6.653 alpha=90.00 beta=90.00 gamma=90.00
Fractional coordinates of all 4 atoms:
Mn 0.000 0.000 0.000
Mn 0.500 0.500 0.232
As 0.000 0.000 0.383
Se 0.500 0.500 0.852

Output
* total magnetization: 5.8 μB/f.u.
* symmetry: Pmm2, No. 25
* uncorrected formation energy: -201.0 meV/atom

=====

no.,raw total energy (eV/atom)
1,-6.29
2,-5.03
3,-7.17
4,-5.11
5,-8.53
6,-6.90
7,-5.01
8,-4.32
9,-5.03
10,-6.27
11,-3.85
12,-8.46
13,-4.10
14,-9.02
15,-3.94
16,-6.82